No. 1
Compound: CsLiTePb
Source: the Alexandria database
Functional: GGA-PBE
Structure: optimized geometry

## Properties
- Crystal system: tetragonal
- Formation energy without anion corrections: -60.8 kJ/mol of atoms
- Magnetic moment: 0.0 μB per formula unit

a b c (Å): 4.5762 4.5762 15.2616
angles (deg): 90.00 90.00 90.00
Fractional coordinates of all 8 atoms:
Cs 0.2500 0.2500 0.2319
Cs 0.7500 0.7500 0.7681
Li 0.2500 0.7500 0.0000
Li 0.7500 0.2500 0.0000
Te 0.2500 0.2500 0.8927
Te 0.7500 0.7500 0.1073
Pb 0.2500 0.7500 0.5000
Pb 0.7500 0.2500 0.5000

---

No. 2
Compound: Cs2Li3Tl12Pb
Source: the Alexandria database
Functional: GGA-PBE
Structure: optimized geometry

## Properties
- Crystal system: trigonal
- Magnetic moment: 0.0 μB per formula unit
- DFT formation energy: 0.1074 eV/atom

a b c (Å): 10.3312 10.3312 10.3312
angles (deg): 55.10 55.10 55.10
Fractional coordinates of all 18 atoms:
Cs 0.1184 0.1184 0.1184
Cs 0.8816 0.8816 0.8816
Li 0.0000 0.5000 0.5000
Li 0.5000 0.0000 0.5000
Li 0.5000 0.5000 0.0000
Tl 0.1127 0.6048 0.6048
Tl 0.1635 0.1635 0.6109
Tl 0.1635 0.6109 0.1635
Tl 0.3891 0.8365 0.8365
Tl 0.3952 0.3952 0.8873
Tl 0.3952 0.8873 0.3952
Tl 0.6048 0.1127 0.6048
Tl 0.6048 0.6048 0.1127
Tl 0.6109 0.1635 0.1635
Tl 0.8365 0.3891 0.8365
Tl 0.8365 0.8365 0.3891
Tl 0.8873 0.3952 0.3952
Pb 0.5000 0.5000 0.5000

---

No. 3
Compound: CsLiTlPb2
Source: the Alexandria database
Functional: GGA-PBE
Structure: optimized geometry

## Properties
- Crystal system: tetragonal
- Magnetic moment: 0.0 μB per formula unit
- DFT formation energy: 0.3717 eV/atom

a b c (Å): 5.9918 5.9918 6.8654
angles (deg): 90.00 90.00 90.00
Fractional coordinates of all 5 atoms:
Cs 0.0000 0.0000 0.0000
Li 0.5000 0.5000 0.0000
Tl 0.0000 0.0000 0.5000
Pb 0.0000 0.5000 0.5000
Pb 0.5000 0.0000 0.5000

---

No. 4
Compound: CsLi2Pd
Source: the Alexandria database
Functional: GGA-PBE
Structure: optimized geometry

## Properties
- Crystal system: tetragonal
- Magnetic moment: 0.0 μB per formula unit
- DFT formation energy: 0.0703 eV/atom

a b c (Å): 8.8178 8.8178 8.8178
angles (deg): 139.76 139.76 58.21
Fractional coordinates of all 8 atoms:
Cs 0.3750 0.6250 0.7500
Cs 0.6250 0.3750 0.2500
Li 0.0000 0.0000 0.0000
Li 0.0000 0.0000 0.5000
Li 0.0000 0.5000 0.0000
Li 0.5000 0.0000 0.5000
Pd 0.1250 0.8750 0.2500
Pd 0.8750 0.1250 0.7500

---

No. 5
Compound: CsLiPd3
Source: the Alexandria database
Functional: GGA-PBE
Structure: optimized geometry

## Properties
- Crystal system: cubic
- Magnetic moment: 0.0 μB per formula unit
- DFT formation energy: 1.1392 eV/atom
- Distance to the lowest polymorph of the same formula: 0.818 eV per atom

a b c (Å): 5.3923 5.3923 5.3923
angles (deg): 90.00 90.00 90.00
Fractional coordinates of all 5 atoms:
Cs 0.0000 0.0000 0.0000
Li 0.5000 0.5000 0.5000
Pd 0.0000 0.0000 0.5000
Pd 0.0000 0.5000 0.0000
Pd 0.5000 0.0000 0.0000

---

No. 6
Compound: Cs2LiPd
Source: the Alexandria database
Functional: GGA-PBE
Structure: optimized geometry

## Properties
- Crystal system: cubic
- Magnetic moment: 1.0 μB per formula unit
- DFT formation energy: 0.3266 eV/atom
- Distance to the lowest polymorph of the same formula: 0.257 eV per atom

a b c (Å): 6.1735 6.1735 6.1735
angles (deg): 60.00 60.00 60.00
Fractional coordinates of all 4 atoms:
Cs 0.2500 0.2500 0.2500
Cs 0.7500 0.7500 0.7500
Li 0.0000 0.0000 0.0000
Pd 0.5000 0.5000 0.5000

---

No. 7
Compound: Cs2LiPd
Source: the Alexandria database
Functional: GGA-PBE
Structure: optimized geometry

## Properties
- Crystal system: tetragonal
- Magnetic moment: 0.0 μB per formula unit
- DFT formation energy: 0.0692 eV/atom
- Distance to the lowest polymorph of the same formula: 0.000 eV per atom

a b c (Å): 9.7791 9.7791 9.7791
angles (deg): 93.63 93.63 150.86
Fractional coordinates of all 8 atoms:
Cs 0.3750 0.0555 0.1805
Cs 0.8055 0.6250 0.6805
Cs 0.8750 0.1945 0.8195
Cs 0.9445 0.1250 0.3195
Li 0.2500 0.7500 0.5000
Li 0.5000 0.5000 0.0000
Pd 0.0000 0.0000 0.0000
Pd 0.7500 0.2500 0.5000

---

No. 8
Compound: CsLiPd3
Source: the Alexandria database
Functional: GGA-PBE
Structure: optimized geometry

## Properties
- Crystal system: cubic
- Magnetic moment: 0.0 μB per formula unit
- DFT formation energy: 0.3216 eV/atom
- Distance to the lowest polymorph of the same formula: 0.000 eV per atom

a b c (Å): 4.7231 4.7231 4.7231
angles (deg): 90.00 90.00 90.00
Fractional coordinates of all 5 atoms:
Cs 0.0000 0.0000 0.0000
Li 0.5000 0.5000 0.5000
Pd 0.0000 0.5000 0.5000
Pd 0.5000 0.0000 0.5000
Pd 0.5000 0.5000 0.0000

---

No. 9
Compound: Cs2RbLiPd
Source: the Alexandria database
Functional: GGA-PBE
Structure: optimized geometry

## Properties
- Crystal system: tetragonal
- Magnetic moment: 0.0 μB per formula unit
- DFT formation energy: 0.1126 eV/atom
- Distance to the lowest polymorph of the same formula: 0.000 eV per atom

a b c (Å): 7.1644 7.1644 5.3029
angles (deg): 90.00 90.00 90.00
Fractional coordinates of all 5 atoms:
Cs 0.0000 0.5000 0.0000
Cs 0.5000 0.0000 0.0000
Rb 0.0000 0.0000 0.5000
Li 0.5000 0.5000 0.5000
Pd 0.5000 0.5000 0.0000

---

No. 10
Compound: Cs2RbLiPd
Source: the Alexandria database
Functional: GGA-PBE
Structure: optimized geometry

## Properties
- Crystal system: tetragonal
- Magnetic moment: 0.0 μB per formula unit
- DFT formation energy: 0.1703 eV/atom
- Distance to the lowest polymorph of the same formula: 0.058 eV per atom

a b c (Å): 7.3516 7.3516 4.9130
angles (deg): 90.00 90.00 90.00
Fractional coordinates of all 5 atoms:
Cs 0.0000 0.5000 0.0000
Cs 0.5000 0.0000 0.0000
Rb 0.0000 0.0000 0.5000
Li 0.5000 0.5000 0.0000
Pd 0.5000 0.5000 0.5000

---

No. 11
Compound: CsLiSiPd2
Source: the Alexandria database
Functional: GGA-PBE
Structure: optimized geometry

## Properties
- Crystal system: tetragonal
- Formation energy without anion corrections: 131.1 kJ/mol of atoms
- Magnetic moment: 0.0 μB per formula unit

a b c (Å): 5.2735 5.2735 4.9199
angles (deg): 90.00 90.00 90.00
Fractional coordinates of all 5 atoms:
Cs 0.0000 0.0000 0.0000
Li 0.0000 0.0000 0.5000
Si 0.5000 0.5000 0.5000
Pd 0.0000 0.5000 0.0000
Pd 0.5000 0.0000 0.0000

---

No. 12
Compound: CsSr2LiPd
Source: the Alexandria database
Functional: GGA-PBE
Structure: optimized geometry

## Properties
- Crystal system: tetragonal
- Magnetic moment: 0.0 μB per formula unit
- DFT formation energy: -0.0839 eV/atom

a b c (Å): 6.0341 6.0341 5.8856
angles (deg): 90.00 90.00 90.00
Fractional coordinates of all 5 atoms:
Cs 0.0000 0.0000 0.0000
Sr 0.0000 0.5000 0.5000
Sr 0.5000 0.0000 0.5000
Li 0.5000 0.5000 0.0000
Pd 0.5000 0.5000 0.5000

---

No. 13
Compound: CsSrLi2Pd
Source: the Alexandria database
Functional: GGA-PBE
Structure: optimized geometry

## Properties
- Crystal system: tetragonal
- Magnetic moment: 0.3 μB per formula unit
- DFT formation energy: -0.0011 eV/atom

a b c (Å): 5.4956 5.4956 5.6988
angles (deg): 90.00 90.00 90.00
Fractional coordinates of all 5 atoms:
Cs 0.0000 0.0000 0.0000
Sr 0.5000 0.5000 0.0000
Li 0.0000 0.5000 0.5000
Li 0.5000 0.0000 0.5000
Pd 0.5000 0.5000 0.5000

---

No. 14
Compound: CsLi2TlPd
Source: the Alexandria database
Functional: GGA-PBE
Structure: optimized geometry

## Properties
- Crystal system: tetragonal
- Magnetic moment: 0.0 μB per formula unit
- DFT formation energy: -0.0909 eV/atom

a b c (Å): 5.3662 5.3662 5.3178
angles (deg): 90.00 90.00 90.00
Fractional coordinates of all 5 atoms:
Cs 0.0000 0.0000 0.0000
Li 0.0000 0.5000 0.5000
Li 0.5000 0.0000 0.5000
Tl 0.5000 0.5000 0.0000
Pd 0.5000 0.5000 0.5000

---

No. 15
Compound: CsLi2ZnPd
Source: the Alexandria database
Functional: GGA-PBE
Structure: optimized geometry

## Properties
- Crystal system: tetragonal
- Magnetic moment: 0.0 μB per formula unit
- DFT formation energy: -0.0590 eV/atom

a b c (Å): 5.1364 5.1364 5.1284
angles (deg): 90.00 90.00 90.00
Fractional coordinates of all 5 atoms:
Cs 0.0000 0.0000 0.0000
Li 0.0000 0.5000 0.5000
Li 0.5000 0.0000 0.5000
Zn 0.5000 0.5000 0.0000
Pd 0.5000 0.5000 0.5000

---

No. 16
Compound: CsLiPm2S4
Source: the Alexandria database
Functional: GGA-PBE
Structure: optimized geometry

## Properties
- Crystal system: orthorhombic
- Formation energy without anion corrections: -176.3 kJ/mol of atoms
- Magnetic moment: 0.0 μB per formula unit

a b c (Å): 7.3988 7.3988 14.3859
angles (deg): 90.00 90.00 147.16
Fractional coordinates of all 16 atoms:
Cs 0.1042 0.8958 0.7500
Cs 0.8958 0.1042 0.2500
Li 0.1729 0.8271 0.2500
Li 0.8271 0.1729 0.7500
Pm 0.3658 0.6342 0.5594
Pm 0.3658 0.6342 0.9406
Pm 0.6342 0.3658 0.0594
Pm 0.6342 0.3658 0.4406
S 0.0000 0.0000 0.0000
S 0.0000 0.0000 0.5000
S 0.2568 0.7432 0.1041
S 0.2568 0.7432 0.3959
S 0.4105 0.5895 0.7500
S 0.5895 0.4105 0.2500
S 0.7432 0.2568 0.6041
S 0.7432 0.2568 0.8959

---

No. 17
Compound: CsLiPmSe2
Source: the Alexandria database
Functional: GGA-PBE
Structure: optimized geometry

## Properties
- Crystal system: orthorhombic
- Formation energy without anion corrections: -114.6 kJ/mol of atoms
- Magnetic moment: 0.4 μB per formula unit

a b c (Å): 8.5161 8.5161 6.6895
angles (deg): 90.00 90.00 133.02
Fractional coordinates of all 10 atoms:
Cs 0.2500 0.7500 0.7676
Cs 0.7500 0.2500 0.2324
Li 0.0000 0.0000 0.0000
Li 0.5000 0.5000 0.0000
Pm 0.2500 0.2500 0.5000
Pm 0.7500 0.7500 0.5000
Se 0.1093 0.8907 0.2597
Se 0.3907 0.6093 0.2597
Se 0.6093 0.3907 0.7403
Se 0.8907 0.1093 0.7403

---

No. 18
Compound: CsLiPr2S4
Source: the Alexandria database
Functional: GGA-PBE
Structure: optimized geometry

## Properties
- Crystal system: orthorhombic
- Formation energy without anion corrections: -175.0 kJ/mol of atoms
- Magnetic moment: 0.0 μB per formula unit

a b c (Å): 7.4901 7.4901 14.5294
angles (deg): 90.00 90.00 147.12
Fractional coordinates of all 16 atoms:
Cs 0.1040 0.8960 0.7500
Cs 0.8960 0.1040 0.2500
Li 0.1717 0.8283 0.2500
Li 0.8283 0.1717 0.7500
Pr 0.3659 0.6341 0.5591
Pr 0.3659 0.6341 0.9409
Pr 0.6341 0.3659 0.0591
Pr 0.6341 0.3659 0.4409
S 0.0000 0.0000 0.0000
S 0.0000 0.0000 0.5000
S 0.2568 0.7432 0.1054
S 0.2568 0.7432 0.3946
S 0.4109 0.5891 0.7500
S 0.5891 0.4109 0.2500
S 0.7432 0.2568 0.6054
S 0.7432 0.2568 0.8946

---

No. 19
Compound: CsLiPrS2
Source: the Alexandria database
Functional: GGA-PBE
Structure: optimized geometry

## Properties
- Crystal system: orthorhombic
- Formation energy without anion corrections: -119.6 kJ/mol of atoms
- Magnetic moment: 0.0 μB per formula unit

a b c (Å): 9.1967 9.1967 5.1851
angles (deg): 90.00 90.00 125.89
Fractional coordinates of all 10 atoms:
Cs 0.2500 0.7500 0.8260
Cs 0.7500 0.2500 0.1740
Li 0.0000 0.0000 0.0000
Li 0.5000 0.5000 0.0000
Pr 0.2500 0.2500 0.5000
Pr 0.7500 0.7500 0.5000
S 0.1017 0.8983 0.3351
S 0.3983 0.6017 0.3351
S 0.6017 0.3983 0.6649
S 0.8983 0.1017 0.6649

---

No. 20
Compound: CsLiPr2Se4
Source: the Alexandria database
Functional: GGA-PBE
Structure: optimized geometry

## Properties
- Crystal system: orthorhombic
- Formation energy without anion corrections: -164.7 kJ/mol of atoms
- Magnetic moment: 0.0 μB per formula unit

a b c (Å): 7.7679 7.7679 15.1350
angles (deg): 90.00 90.00 147.13
Fractional coordinates of all 16 atoms:
Cs 0.1055 0.8945 0.7500
Cs 0.8945 0.1055 0.2500
Li 0.1692 0.8308 0.2500
Li 0.8308 0.1692 0.7500
Pr 0.3660 0.6340 0.5597
Pr 0.3660 0.6340 0.9403
Pr 0.6340 0.3660 0.0597
Pr 0.6340 0.3660 0.4403
Se 0.0000 0.0000 0.0000
Se 0.0000 0.0000 0.5000
Se 0.2590 0.7410 0.1068
Se 0.2590 0.7410 0.3932
Se 0.4161 0.5839 0.7500
Se 0.5839 0.4161 0.2500
Se 0.7410 0.2590 0.6068
Se 0.7410 0.2590 0.8932

---

No. 21
Compound: CsLiPrSe2
Source: the Alexandria database
Functional: GGA-PBE
Structure: optimized geometry

## Properties
- Crystal system: orthorhombic
- Formation energy without anion corrections: -113.7 kJ/mol of atoms
- Magnetic moment: 0.4 μB per formula unit

a b c (Å): 8.5713 8.5713 6.7436
angles (deg): 90.00 90.00 133.16
Fractional coordinates of all 10 atoms:
Cs 0.2500 0.7500 0.7690
Cs 0.7500 0.2500 0.2310
Li 0.0000 0.0000 0.0000
Li 0.5000 0.5000 0.0000
Pr 0.2500 0.2500 0.5000
Pr 0.7500 0.7500 0.5000
Se 0.1103 0.8897 0.2538
Se 0.3897 0.6103 0.2538
Se 0.6103 0.3897 0.7462
Se 0.8897 0.1103 0.7462

---

No. 22
Compound: CsLiPrSe3
Source: the Alexandria database
Functional: GGA-PBE
Structure: optimized geometry

## Properties
- Crystal system: orthorhombic
- Formation energy without anion corrections: -129.6 kJ/mol of atoms
- Magnetic moment: 0.8 μB per formula unit

a b c (Å): 8.8365 8.8365 10.3411
angles (deg): 90.00 90.00 149.99
Fractional coordinates of all 12 atoms:
Cs 0.2470 0.7530 0.7500
Cs 0.7530 0.2470 0.2500
Li 0.4800 0.5200 0.7500
Li 0.5200 0.4800 0.2500
Pr 0.0000 0.0000 0.0000
Pr 0.0000 0.0000 0.5000
Se 0.0862 0.9138 0.2500
Se 0.4001 0.5999 0.0996
Se 0.4001 0.5999 0.4004
Se 0.5999 0.4001 0.5996
Se 0.5999 0.4001 0.9004
Se 0.9138 0.0862 0.7500

---

No. 23
Compound: CsLiPr2Te4
Source: the Alexandria database
Functional: GGA-PBE
Structure: optimized geometry

## Properties
- Crystal system: orthorhombic
- Formation energy without anion corrections: -131.5 kJ/mol of atoms
- Magnetic moment: 0.0 μB per formula unit

a b c (Å): 8.2548 8.2548 16.2045
angles (deg): 90.00 90.00 147.15
Fractional coordinates of all 16 atoms:
Cs 0.1088 0.8912 0.7500
Cs 0.8912 0.1088 0.2500
Li 0.1669 0.8331 0.2500
Li 0.8331 0.1669 0.7500
Pr 0.3667 0.6333 0.5610
Pr 0.3667 0.6333 0.9390
Pr 0.6333 0.3667 0.0610
Pr 0.6333 0.3667 0.4390
Te 0.0000 0.0000 0.0000
Te 0.0000 0.0000 0.5000
Te 0.2619 0.7381 0.1077
Te 0.2619 0.7381 0.3923
Te 0.4229 0.5771 0.7500
Te 0.5771 0.4229 0.2500
Te 0.7381 0.2619 0.6077
Te 0.7381 0.2619 0.8923